PaZn4Pd (PBE, optimized geometry); ΔH_f (0 K) = -0.0862 eV/atom; calculated density = 9.58 g/cm³; symmetry = No. 216; V = 103.9 Å³/cell; relative energy among the computed polymorphs = 13.2 kJ/mol of atoms
1.0
0.000 3.731 3.731
3.731 0.000 3.731
3.731 3.731 0.000
Pa Zn Pd
1 4 1
Cartesian
0.000 0.000 0.000
4.659 2.803 2.803
2.803 4.659 2.803
2.803 2.803 4.659
4.659 4.659 4.659
1.865 1.865 1.865